Material: Hf3Ta3Ga2Fe
Method: DFT, PBE-GGA
State: relaxed

The final energy is -9.17 eV per atom.

Cell and atoms, written as CIF:
```
data_Hf3Ta3Ga2Fe
_symmetry_space_group_name_H-M 'P -6 2 m'
_symmetry_Int_Tables_number 189
_symmetry_space_group_name_Hall 'P -6 -2'
_cell_length_a 7.5409
_cell_length_b 7.5409
_cell_length_c 3.2774
_cell_angle_alpha 90.00
_cell_angle_beta 90.00
_cell_angle_gamma 120.00
loop_
_atom_site_label
_atom_site_type_symbol
_atom_site_fract_x
_atom_site_fract_y
_atom_site_fract_z
Hf1 Hf 0.0000 0.4022 0.0000
Ta1 Ta 0.0000 0.7518 0.5000
Ga1 Ga 0.3333 0.6667 0.5000
Fe1 Fe 0.0000 0.0000 0.0000
```